A relaxed AcNdNiSn crystal. Source: the Alexandria database, functional PBE.

CIF file:
```
data_AcNdNiSn
_space_group_name_H-M_alt 'P 1'
_space_group_IT_number 1
_space_group_name_Hall 'P 1'
_cell_length_a 5.435
_cell_length_b 5.435
_cell_length_c 5.435
_cell_angle_alpha 60.00
_cell_angle_beta 60.00
_cell_angle_gamma 60.00
loop_
_atom_site_label
_atom_site_type_symbol
_atom_site_fract_x
_atom_site_fract_y
_atom_site_fract_z
_atom_site_occupancy
Sn1 Sn 0.250 0.250 0.250 1
Ac1 Ac 0.000 0.000 0.000 1
Ni1 Ni 0.750 0.750 0.750 1
Nd1 Nd 0.500 0.500 0.500 1
```

Total DFT energy (no corrections): -4.970 eV/atom
Formation energy: -1.219 eV per formula unit
Space group: No. 216
Mass density: 8.02 g/cm3
Crystal system: cubic

***

A relaxed TiAlCoRe2 crystal. Source: the Alexandria database, functional PBE.

CIF file:
```
data_TiAlCoRe2
_space_group_name_H-M_alt 'P 1'
_space_group_IT_number 1
_space_group_name_Hall 'P 1'
_cell_length_a 4.598
_cell_length_b 4.125
_cell_length_c 4.598
_cell_angle_alpha 90.00
_cell_angle_beta 90.00
_cell_angle_gamma 90.00
loop_
_atom_site_label
_atom_site_type_symbol
_atom_site_fract_x
_atom_site_fract_y
_atom_site_fract_z
_atom_site_occupancy
Ti1 Ti 0.000 0.000 0.000 1
Co1 Co 0.000 0.500 0.000 1
Re1 Re 0.000 0.000 0.500 1
Re2 Re 0.500 0.000 0.000 1
Al1 Al 0.500 0.500 0.500 1
```

Total DFT energy (no corrections): -7.216 eV/atom
Formation energy: 7.562 eV per formula unit
Space group: No. 123
Mass density: 9.64 g/cm3
Crystal system: tetragonal

***

A relaxed PrHo2Tm3Se6 crystal. Source: the Alexandria database, functional PBE.

CIF file:
```
data_PrHo2Tm3Se6
_space_group_name_H-M_alt 'P 1'
_space_group_IT_number 1
_space_group_name_Hall 'P 1'
_cell_length_a 7.030
_cell_length_b 7.030
_cell_length_c 7.102
_cell_angle_alpha 99.44
_cell_angle_beta 99.44
_cell_angle_gamma 120.23
loop_
_atom_site_label
_atom_site_type_symbol
_atom_site_fract_x
_atom_site_fract_y
_atom_site_fract_z
_atom_site_occupancy
Se1 Se 0.087 0.433 0.262 1
Se2 Se 0.260 0.260 0.744 1
Se3 Se 0.433 0.087 0.262 1
Se4 Se 0.740 0.740 0.256 1
Se5 Se 0.913 0.567 0.738 1
Se6 Se 0.567 0.913 0.738 1
Tm1 Tm 0.158 0.842 0.500 1
Tm2 Tm 0.842 0.158 0.500 1
Tm3 Tm 0.500 0.500 0.500 1
Ho1 Ho 0.665 0.335 0.000 1
Ho2 Ho 0.335 0.665 0.000 1
Pr1 Pr 0.000 0.000 0.000 1
```

Total DFT energy (no corrections): -5.734 eV/atom
Space group: No. 12
Mass density: 8.42 g/cm3
Crystal system: monoclinic

***

A relaxed K3Hg5Au crystal. Source: the Alexandria database, functional PBE.

CIF file:
```
data_K3Hg5Au
_space_group_name_H-M_alt 'P 1'
_space_group_IT_number 1
_space_group_name_Hall 'P 1'
_cell_length_a 4.400
_cell_length_b 8.645
_cell_length_c 8.645
_cell_angle_alpha 120.00
_cell_angle_beta 90.00
_cell_angle_gamma 90.00
loop_
_atom_site_label
_atom_site_type_symbol
_atom_site_fract_x
_atom_site_fract_y
_atom_site_fract_z
_atom_site_occupancy
Au1 Au 0.000 0.000 0.000 1
K1 K 0.000 0.389 0.000 1
K2 K 0.000 0.000 0.389 1
K3 K 0.000 0.611 0.611 1
Hg1 Hg 0.500 0.000 0.753 1
Hg2 Hg 0.500 0.247 0.247 1
Hg3 Hg 0.500 0.333 0.667 1
Hg4 Hg 0.500 0.753 0.000 1
Hg5 Hg 0.500 0.667 0.333 1
```

Total DFT energy (no corrections): -1.145 eV/atom
Formation energy: -2.227 eV per formula unit
Space group: No. 189
Mass density: 7.68 g/cm3
Crystal system: hexagonal